# 1
SrCu2Se2Cl2O6: optimized geometry, PBEsol.

Structure (CIF):
```
data_SrCu2Se2Cl2O6
_cell_length_a 7.118
_cell_length_b 7.137
_cell_length_c 8.022
_cell_angle_alpha 90.00
_cell_angle_beta 96.11
_cell_angle_gamma 90.00
_space_group_name_H-M_alt 'P 1'
_space_group_IT_number 1
_space_group_name_Hall 'P 1'
loop_
_atom_site_label
_atom_site_type_symbol
_atom_site_fract_x
_atom_site_fract_y
_atom_site_fract_z
_atom_site_occupancy
Sr1 Sr 0.127 0.000 0.066 1
Sr2 Sr 0.873 0.500 0.934 1
Cu1 Cu 0.309 0.991 0.587 1
Cu2 Cu 0.361 0.508 0.096 1
Cu3 Cu 0.639 0.008 0.904 1
Cu4 Cu 0.691 0.491 0.413 1
Se1 Se 0.126 0.653 0.385 1
Se2 Se 0.351 0.364 0.781 1
Se3 Se 0.649 0.864 0.219 1
Se4 Se 0.874 0.153 0.615 1
Cl1 Cl 0.124 0.747 0.778 1
Cl2 Cl 0.442 0.290 0.380 1
Cl3 Cl 0.558 0.790 0.620 1
Cl4 Cl 0.876 0.247 0.222 1
O1 O 0.113 0.182 0.612 1
O2 O 0.138 0.622 0.169 1
O3 O 0.191 0.887 0.381 1
O4 O 0.205 0.336 0.945 1
O5 O 0.445 0.138 0.763 1
O6 O 0.471 0.949 0.074 1
O7 O 0.529 0.449 0.926 1
O8 O 0.555 0.638 0.237 1
O9 O 0.795 0.836 0.055 1
O10 O 0.809 0.387 0.619 1
O11 O 0.862 0.122 0.831 1
O12 O 0.887 0.682 0.388 1
```

DOS at the Fermi energy: 1.46 states/eV per cell
Formation energy from raw total energies: -14.5 eV/f.u.
Size of the total moment: 0.16 μB/atom


# 2
KZn2Ni: optimized geometry, PBEsol.

Structure (CIF):
```
data_KZn2Ni
_cell_length_a 2.715
_cell_length_b 5.338
_cell_length_c 10.410
_cell_angle_alpha 90.00
_cell_angle_beta 90.00
_cell_angle_gamma 90.00
_space_group_name_H-M_alt 'P 1'
_space_group_IT_number 1
_space_group_name_Hall 'P 1'
loop_
_atom_site_label
_atom_site_type_symbol
_atom_site_fract_x
_atom_site_fract_y
_atom_site_fract_z
_atom_site_occupancy
K1 K 0.000 0.000 0.000 1
K2 K 0.500 0.500 0.500 1
Zn1 Zn 0.000 0.500 0.190 1
Zn2 Zn 0.000 0.500 0.810 1
Zn3 Zn 0.500 0.000 0.310 1
Zn4 Zn 0.500 0.000 0.690 1
Ni1 Ni 0.000 0.000 0.500 1
Ni2 Ni 0.500 0.500 0.000 1
```

Relative energy among the computed polymorphs: 0 meV/atom
Energy of formation from the pure elements: 294 meV per atom
DOS at the Fermi energy: 2.34 states/eV per cell
Size of the total moment: 0.00 μB/atom


Which of these has the lowest size of the total moment? KZn2Ni


The lowest size of the total moment belongs to which entry? KZn2Ni


Which of these has the highest size of the total moment? SrCu2Se2Cl2O6


What is the DOS at the Fermi energy in the first record? 1.46 states/eV per cell